The following is a DFT calculation (PBE) of a geometry-optimized Nb2BPt structure. Values from VASP.

Energy in eV/atom: -7.756
Magnetic moment in μB/f.u.: 0.73

```
&SYSTEM
  ibrav = 0, nat = 4, ntyp = 3
/
ATOMIC_SPECIES
Nb 92.91 Nb.upf
B 10.81 B.upf
Pt 195.08 Pt.upf
ATOMIC_POSITIONS angstrom
Nb 0.0000 0.0000 0.0000
Nb 1.5545 1.5545 1.5545
B 3.1090 3.1090 3.1090
Pt 4.6635 4.6635 4.6635
CELL_PARAMETERS angstrom
0.0000 3.1090 3.1090
3.1090 0.0000 3.1090
3.1090 3.1090 0.0000
```